Record 1
! ZnPPtCl2 | the Alexandria database | PBE | relaxed; values from VASP
! Space group: P4/mmm, No. 123
! E above lowest polymorph (meV per atom): 0
&SYSTEM
  ibrav = 0, nat = 5, ntyp = 4
/
ATOMIC_SPECIES
Zn 65.41 Zn.upf
P 30.97 P.upf
Pt 195.08 Pt.upf
Cl 35.45 Cl.upf
ATOMIC_POSITIONS crystal
Zn 0.000 0.000 0.000
P 0.500 0.500 0.000
Pt 0.500 0.500 0.500
Cl 0.000 0.500 0.500
Cl 0.500 0.000 0.500
CELL_PARAMETERS angstrom
5.059 0.000 0.000
0.000 5.059 0.000
0.000 0.000 4.565

***

Record 2
! ZnP2PtCl | the Alexandria database | PBE | relaxed; values from VASP
! Space group: P4/mmm, No. 123
! E above lowest polymorph (meV per atom): 0
&SYSTEM
  ibrav = 0, nat = 5, ntyp = 4
/
ATOMIC_SPECIES
Zn 65.41 Zn.upf
P 30.97 P.upf
Pt 195.08 Pt.upf
Cl 35.45 Cl.upf
ATOMIC_POSITIONS crystal
Zn 0.000 0.000 0.000
P 0.000 0.500 0.500
P 0.500 0.000 0.500
Pt 0.500 0.500 0.500
Cl 0.500 0.500 0.000
CELL_PARAMETERS angstrom
4.636 0.000 0.000
0.000 4.636 0.000
0.000 0.000 5.191

***

Record 3
! Pu2PCl | the Alexandria database | PBE | relaxed; values from VASP
! Space group: P-3m1, No. 164
&SYSTEM
  ibrav = 0, nat = 4, ntyp = 3
/
ATOMIC_SPECIES
Pu 244.00 Pu.upf
P 30.97 P.upf
Cl 35.45 Cl.upf
ATOMIC_POSITIONS crystal
Pu 0.333 0.667 0.223
Pu 0.667 0.333 0.777
P 0.000 0.000 0.000
Cl 0.000 0.000 0.500
CELL_PARAMETERS angstrom
3.896 0.000 0.000
-1.948 3.374 0.000
0.000 0.000 7.368

***

Record 4
! Pu2PCl | the Alexandria database | PBE | relaxed; values from VASP
! Space group: C2/c, No. 15
&SYSTEM
  ibrav = 0, nat = 16, ntyp = 3
/
ATOMIC_SPECIES
Pu 244.00 Pu.upf
P 30.97 P.upf
Cl 35.45 Cl.upf
ATOMIC_POSITIONS crystal
Pu 0.057 0.432 0.760
Pu 0.181 0.307 0.239
Pu 0.307 0.181 0.739
Pu 0.432 0.057 0.260
Pu 0.568 0.943 0.740
Pu 0.693 0.819 0.261
Pu 0.819 0.693 0.761
Pu 0.943 0.568 0.240
P 0.061 0.939 0.250
P 0.314 0.686 0.250
P 0.686 0.314 0.750
P 0.939 0.061 0.750
Cl 0.187 0.813 0.750
Cl 0.438 0.562 0.750
Cl 0.562 0.438 0.250
Cl 0.813 0.187 0.250
CELL_PARAMETERS angstrom
4.010 -8.061 0.000
4.010 8.061 0.000
-3.964 0.000 5.709

***

Record 5
! Pu2PCl | the Alexandria database | PBE | relaxed; values from VASP
! Space group: Fm-3m, No. 225
&SYSTEM
  ibrav = 0, nat = 4, ntyp = 3
/
ATOMIC_SPECIES
Pu 244.00 Pu.upf
P 30.97 P.upf
Cl 35.45 Cl.upf
ATOMIC_POSITIONS crystal
Pu 0.250 0.250 0.250
Pu 0.750 0.750 0.750
P 0.000 0.000 0.000
Cl 0.500 0.500 0.500
CELL_PARAMETERS angstrom
0.000 3.490 3.490
3.490 0.000 3.490
3.490 3.490 0.000

***

Record 6
! Pu2P2Cl | the Alexandria database | PBE | relaxed; values from VASP
! Space group: C2/m, No. 12
&SYSTEM
  ibrav = 0, nat = 5, ntyp = 3
/
ATOMIC_SPECIES
Pu 244.00 Pu.upf
P 30.97 P.upf
Cl 35.45 Cl.upf
ATOMIC_POSITIONS crystal
Pu 0.004 0.004 0.174
Pu 0.996 0.996 0.826
P 0.333 0.667 0.000
P 0.667 0.333 0.000
Cl 0.000 0.000 0.500
CELL_PARAMETERS angstrom
2.190 -3.795 0.000
2.190 3.795 0.000
-0.120 0.000 8.331

***

| no. | VASP energy (eV per atom) | size of the total moment (μB per formula unit) | E_form (uncorrected) (eV per atom) |
| --- | --- | --- | --- |
| 1 | -3.05 | 0.005 | 0.23 |
| 2 | -3.45 | 0.001 | 0.55 |
| 3 | -10.15 | 11.909 | -1.17 |
| 4 | -10.21 | 11.324 | -1.23 |
| 5 | -10.04 | 11.922 | -1.06 |
| 6 | -9.08 | 10.531 | -0.82 |